KMnZn2: optimized geometry, PBEsol.

The structure in extended XYZ format:
```
4
Lattice="-2.2659 0.1381 2.0860 0.8009 -2.7842 1.0543 5.3099 3.6207 5.5280" Properties=species:S:1:pos:R:3 pbc="T T T"
K 2.5972 1.7710 2.7038
Mn 3.7049 1.7027 6.1897
Zn 5.2960 3.6113 5.5135
Zn 0.2118 -0.6792 2.5532
```

Computed properties:
- Electronic total energy: -12.02 eV per cell
- Energy relative to the lowest polymorph listed for this composition: 3.5 kJ/mol of formula units
- Space-group type: P4mm

MgTe2W: optimized geometry, PBEsol.

The structure in extended XYZ format:
```
4
Lattice="3.5155 0.1069 0.0000 -0.1348 4.4661 0.0000 0.0000 0.0000 5.4295" Properties=species:S:1:pos:R:3 pbc="T T T"
Mg 0.4100 1.0322 2.7147
Te 0.4337 0.1622 0.0000
Te 2.1028 3.2200 2.7147
W 2.1247 2.4451 0.0000
```

Computed properties:
- Formation energy from raw total energies: 0.33 eV/atom
- Electronic total energy: -21.26 eV per cell
- Space-group type: Pmm2

CdSbPO2: optimized geometry, PBEsol.

The structure in extended XYZ format:
```
5
Lattice="4.0896 0.0000 0.0000 0.0000 4.0896 0.0000 0.0000 0.0000 4.9554" Properties=species:S:1:pos:R:3 pbc="T T T"
Sb 2.0448 2.0448 2.4777
O 0.0000 2.0448 0.0000
O 2.0448 0.0000 0.0000
P 0.0000 0.0000 2.4777
Cd 0.0000 0.0000 0.0000
```

Computed properties:
- Formation energy from raw total energies: 0.29 eV/atom
- Electronic total energy: -20.58 eV per cell
- Space-group type: P4/mmm

Al3Te: optimized geometry, PBEsol.

The structure in extended XYZ format:
```
4
Lattice="3.5931 0.0000 0.0000 0.0000 3.5931 0.0000 0.0000 0.0000 6.1389" Properties=species:S:1:pos:R:3 pbc="T T T"
Te 0.0000 0.0000 0.0000
Al 1.7965 1.7965 4.4546
Al 0.0000 0.0000 3.0694
Al 1.7965 1.7965 1.6842
```

Computed properties:
- Formation energy from raw total energies: 0.13 eV/atom
- Electronic total energy: -15.27 eV per cell
- Energy relative to the lowest polymorph listed for this composition: 0.0 kJ/mol of formula units
- Space-group type: P4/mmm

Ba2InFe: optimized geometry, PBEsol.

The structure in extended XYZ format:
```
4
Lattice="-3.3374 2.2858 -0.0378 -3.0745 -0.8682 2.4816 1.7146 6.2088 7.5936" Properties=species:S:1:pos:R:3 pbc="T T T"
Ba -1.0433 2.1017 2.7400
Ba -3.6540 5.5246 7.2975
Fe -2.3487 3.8132 5.0187
In 0.0000 0.0000 0.0000
```

Computed properties:
- Electronic total energy: -14.15 eV per cell
- Space-group type: R-3m

MnCu2Pd: optimized geometry, PBEsol.

The structure in extended XYZ format:
```
4
Lattice="-1.5044 0.9594 3.7594 -2.6157 -2.6047 1.9211 1.2627 -2.1215 3.3499" Properties=species:S:1:pos:R:3 pbc="T T T"
Mn 0.0000 0.0000 0.0000
Cu -0.7144 -0.9417 2.2576
Cu -2.1431 -2.8251 6.7728
Pd -1.4287 -1.8834 4.5152
```

Computed properties:
- Electronic total energy: -24.27 eV per cell
- Space-group type: Fm-3m

CdFeSCl2: optimized geometry, PBEsol.

The structure in extended XYZ format:
```
5
Lattice="4.9160 0.0000 0.0000 0.0000 4.9160 0.0000 0.0000 0.0000 5.0840" Properties=species:S:1:pos:R:3 pbc="T T T"
S 0.0000 0.0000 2.5420
Cl 0.0000 2.4580 0.0000
Cl 2.4580 0.0000 0.0000
Fe 2.4580 2.4580 2.5420
Cd 0.0000 0.0000 0.0000
```

Computed properties:
- Formation energy from raw total energies: 0.43 eV/atom
- Electronic total energy: -16.42 eV per cell
- Space-group type: P4/mmm

LaI4O12: optimized geometry, PBEsol.

The structure in extended XYZ format:
```
68
Lattice="-0.9707 0.1155 7.5166 -9.2560 -3.6330 -1.1396 8.6545 -10.8789 1.2849" Properties=species:S:1:pos:R:3 pbc="T T T"
La -0.4976 -5.1173 5.3962
La -5.3127 -3.8502 0.9330
La -1.0746 -9.2791 2.2658
La 3.7405 -10.5462 6.7290
I -7.4105 -6.0231 5.4607
I 1.3605 -2.9160 2.7238
I 5.8383 -8.3733 2.2012
I -2.9327 -11.4805 4.9381
I -1.5178 -1.2547 4.9590
I -4.2300 -7.7203 0.8862
I -0.0544 -13.1417 2.7030
I 2.6578 -6.6761 6.7758
I -1.4125 -5.5882 1.6297
I -4.4400 -3.3743 5.0266
I -0.1597 -8.8082 6.0323
I 2.8678 -11.0221 2.6354
I -3.7007 -7.2832 4.7908
I -2.0524 -1.6912 1.0958
I 2.1285 -7.1132 2.8712
I 0.4802 -12.7052 6.5661
O 0.9309 -3.9396 6.9286
O -7.0882 -4.9867 2.0871
O -2.5031 -10.4568 0.7334
O 5.5160 -9.4098 5.5748
O -6.6871 -5.5883 -0.3014
O 1.1520 -3.4120 4.4994
O 5.1148 -8.8081 7.9634
O -2.7242 -10.9845 3.1625
O -8.6031 -4.7440 4.8231
O 2.6710 -4.2091 2.4490
O 7.0308 -9.6525 2.8389
O -4.2432 -10.1873 5.2130
O -1.5768 -3.0009 5.4419
O -4.2888 -5.9601 1.3153
O 0.0046 -11.3955 2.2200
O 2.7166 -8.4363 6.3467
O -3.2372 -1.3260 4.2221
O -2.3796 -7.6646 0.6083
O 1.6650 -13.0705 3.4399
O 0.8073 -6.7318 7.0536
O -0.6855 -1.4058 3.3265
O -5.5906 -7.5063 6.6086
O -0.8868 -12.9906 4.3355
O 4.0184 -6.8901 1.0533
O -0.6032 -5.2501 0.0689
O -4.8277 -3.7626 3.3223
O -0.9690 -9.1463 7.5931
O 3.2555 -10.6338 4.3396
O -0.5551 -4.4088 2.8139
O -5.5748 -4.5208 5.9893
O -1.0171 -9.9876 4.8480
O 4.0026 -9.8756 1.6727
O -0.3322 -6.9521 2.2530
O -5.6379 -1.9965 5.3135
O -1.2400 -7.4444 5.4090
O 4.0657 -12.3999 2.3485
O -3.0010 -5.5599 4.7404
O -2.7231 -3.4179 0.9215
O 1.4288 -8.8365 2.9215
O 1.1509 -10.9785 6.7404
O -3.0225 -7.8760 3.1741
O -3.2662 -1.0346 6.8594
O 1.4503 -6.5204 4.4879
O 1.6940 -13.3618 0.8026
O -5.3588 -6.9696 4.0772
O -0.2688 -2.0197 0.8366
O 3.7865 -7.4268 3.5847
O -1.3034 -12.3768 6.8253
```

Computed properties:
- Formation energy from raw total energies: -0.79 eV/atom
- Electronic total energy: -355.18 eV per cell
- Space-group type: P2_1/c

Cr2CuMo: optimized geometry, PBEsol.

The structure in extended XYZ format:
```
4
Lattice="-0.6600 1.8636 1.4650 0.3823 -1.4171 1.9750 7.8249 2.5331 0.3029" Properties=species:S:1:pos:R:3 pbc="T T T"
Cr 6.0069 1.9445 0.2325
Cr 1.8180 0.5885 0.0704
Cu -0.1388 0.2233 1.7200
Mo 3.7736 1.4898 1.8714
```

Computed properties:
- Electronic total energy: -35.10 eV per cell
- Energy relative to the lowest polymorph listed for this composition: 37.5 kJ/mol of formula units
- Space-group type: P4/mmm

KN2ClF: optimized geometry, PBEsol.

The structure in extended XYZ format:
```
5
Lattice="4.6121 0.0000 0.0000 0.0000 5.9161 0.0000 0.0000 0.0000 5.9161" Properties=species:S:1:pos:R:3 pbc="T T T"
N 0.0000 0.0000 2.9580
N 0.0000 2.9580 0.0000
K 0.0000 0.0000 0.0000
F 2.3061 0.0000 0.0000
Cl 2.3061 2.9580 2.9580
```

Computed properties:
- Formation energy from raw total energies: 1.50 eV/atom
- Electronic total energy: -14.63 eV per cell
- Space-group type: P4/mmm

ReTeMo2: optimized geometry, PBEsol.

The structure in extended XYZ format:
```
4
Lattice="3.1971 0.0000 0.0000 0.0000 4.4124 0.0000 -1.5985 -2.2062 4.5654" Properties=species:S:1:pos:R:3 pbc="T T T"
Mo 1.5985 2.2062 4.4795
Mo 1.5986 0.0000 2.3185
Re 1.5985 2.2062 0.0640
Te 0.0000 2.2062 2.2687
```

Computed properties:
- Formation energy from raw total energies: 0.41 eV/atom
- Electronic total energy: -38.74 eV per cell
- Space-group type: Imm2

Ta2BeZn: optimized geometry, PBEsol.

The structure in extended XYZ format:
```
4
Lattice="2.8825 0.0000 0.0000 0.0000 4.5113 0.0000 -1.4412 -2.2556 4.4234" Properties=species:S:1:pos:R:3 pbc="T T T"
Be 0.0000 2.2556 2.0583
Zn 1.4412 2.2556 0.2732
Ta 1.4412 2.2556 4.2331
Ta 1.4412 0.0000 2.2823
```

Computed properties:
- Electronic total energy: -30.42 eV per cell
- Energy relative to the lowest polymorph listed for this composition: 8.8 kJ/mol of formula units
- Space-group type: Imm2

GdGeIr: optimized geometry, PBEsol.

The structure in extended XYZ format:
```
12
Lattice="4.3668 0.0000 0.0000 0.0000 6.9114 0.0000 0.0000 0.0000 7.4236" Properties=species:S:1:pos:R:3 pbc="T T T"
Gd 1.0917 3.3570 1.4648
Gd 3.2751 0.0988 5.1766
Gd 1.0917 6.8127 2.2470
Gd 3.2751 3.5545 5.9588
Ge 3.2751 1.2280 0.6123
Ge 3.2751 4.6837 3.0995
Ge 1.0917 5.6834 6.8113
Ge 1.0917 2.2277 4.3241
Ir 3.2751 5.4938 0.6893
Ir 3.2751 2.0381 3.0225
Ir 1.0917 4.8733 4.4011
Ir 1.0917 1.4176 6.7343
```

Computed properties:
- Electronic total energy: -127.87 eV per cell
- Space-group type: Pnma

Mg2Mn3O8: optimized geometry, PBEsol.

The structure in extended XYZ format:
```
26
Lattice="5.7320 0.0000 0.0000 -2.8660 4.9641 0.0000 0.0000 0.0000 9.2620" Properties=species:S:1:pos:R:3 pbc="T T T"
Mg 2.8660 1.6547 4.3996
Mg 0.0000 3.3094 9.0306
Mg 2.8660 1.6547 0.7295
Mg 0.0000 3.3094 5.3605
Mn 0.0000 1.6257 2.3541
Mn 4.3242 0.8128 6.9851
Mn 1.4582 4.1513 2.3541
Mn 1.4079 0.8128 6.9851
Mn 2.8660 3.3384 6.9851
Mn -1.4582 4.1513 2.3541
O 4.3691 0.7869 3.2973
O 0.0000 1.5738 7.9283
O 1.5030 4.1772 7.9283
O 1.3630 0.7869 3.2973
O 2.8660 3.3903 3.2973
O -1.5030 4.1772 7.9283
O 1.5948 2.3886 5.9015
O 0.0000 4.7773 1.2705
O -1.2712 2.5755 1.2705
O 4.1372 2.3886 5.9015
O 0.0000 0.0000 1.3747
O 0.0000 0.0000 6.0057
O 0.0000 3.3094 3.3553
O 2.8660 0.1868 5.9015
O 1.2712 2.5755 1.2705
O 2.8660 1.6547 7.9863
```

Computed properties:
- Formation energy from raw total energies: -2.01 eV/atom
- Electronic total energy: -201.67 eV per cell
- Energy relative to the lowest polymorph listed for this composition: 28.8 kJ/mol of formula units
- Space-group type: P6_3mc

ZnCu2Au: optimized geometry, PBEsol.

The structure in extended XYZ format:
```
4
Lattice="4.2270 0.0000 0.0000 2.1135 3.6607 0.0000 2.1135 1.2202 3.4513" Properties=species:S:1:pos:R:3 pbc="T T T"
Zn 2.1135 1.2202 0.8628
Au 4.2270 2.4404 1.7256
Cu 0.0000 0.0000 0.0000
Cu 6.3404 3.6607 2.5885
```

Computed properties:
- Electronic total energy: -14.54 eV per cell
- Space-group type: F-43m

BaReB2: optimized geometry, PBEsol.

The structure in extended XYZ format:
```
8
Lattice="5.4055 0.0000 0.0000 0.0000 5.4055 0.0000 -2.7028 -2.7028 5.9116" Properties=species:S:1:pos:R:3 pbc="T T T"
Re 0.0000 0.0000 0.0000
Re 0.0000 2.7028 2.9558
B 1.3514 2.7028 4.4337
B -1.3514 2.7028 4.4337
B 0.0000 4.0541 1.4779
B 0.0000 1.3514 1.4779
Ba 2.7028 2.7028 0.0000
Ba 2.7028 0.0000 2.9558
```

Computed properties:
- Electronic total energy: -56.03 eV per cell
- Space-group type: I4_1/amd

CuHgSCl: optimized geometry, PBEsol.

The structure in extended XYZ format:
```
32
Lattice="3.9666 0.0000 0.0000 0.0000 9.7889 0.0000 0.0000 0.0000 17.9357" Properties=species:S:1:pos:R:3 pbc="T T T"
Cu 0.0000 8.8048 11.2317
Cu 0.0000 0.9840 6.7041
Cu 0.0000 3.9104 15.6719
Cu 0.0000 4.2479 7.8020
Cu 0.0000 9.1423 1.1659
Cu 0.0000 0.6466 16.7699
Cu 0.0000 5.5410 10.1337
Cu 0.0000 5.8784 2.2638
Hg 1.9833 2.5348 1.9271
Hg 1.9833 9.5050 4.1296
Hg 1.9833 0.2839 13.8061
Hg 1.9833 7.4292 7.0408
Hg 1.9833 5.1783 13.0975
Hg 1.9833 2.3596 10.8950
Hg 1.9833 7.2541 16.0086
Hg 1.9833 4.6105 4.8383
S 1.9833 4.7678 10.7238
S 1.9833 4.9217 15.4832
S 1.9833 4.8671 2.4525
S 1.9833 0.0273 11.4204
S 1.9833 9.7615 6.5153
S 1.9833 0.1266 1.7559
S 1.9833 5.0211 7.2120
S 1.9833 9.6622 16.1798
Cl 0.0000 2.7051 17.6547
Cl 0.0000 7.5995 9.2489
Cl 0.0000 7.3551 4.0871
Cl 0.0000 2.4607 4.8808
Cl 0.0000 7.0838 0.2810
Cl 0.0000 2.1894 8.6868
Cl 0.0000 7.3282 13.0549
Cl 0.0000 2.4338 13.8486
```

Computed properties:
- Formation energy from raw total energies: -0.36 eV/atom
- Electronic total energy: -101.86 eV per cell
- Energy relative to the lowest polymorph listed for this composition: 0.0 kJ/mol of formula units
- Space-group type: Pbam

Ca2PtO: optimized geometry, PBEsol.

The structure in extended XYZ format:
```
8
Lattice="-5.0011 1.9249 -2.6726 4.4411 -1.2778 -3.8082 -0.6307 -5.2405 2.8282" Properties=species:S:1:pos:R:3 pbc="T T T"
Ca -2.2618 0.4222 -4.2087
Ca 0.1186 -3.3860 0.8010
Ca -1.4979 -1.7329 -1.6921
Ca 1.2599 -4.4901 -2.2056
O 1.9052 -3.2591 -0.4900
O -1.8633 -3.2874 -0.1672
Pt 0.0000 0.0000 0.0000
Pt 0.6726 -1.3060 -3.4855
```

Computed properties:
- Formation energy from raw total energies: -1.56 eV/atom
- Electronic total energy: -45.47 eV per cell
- Space-group type: I-42d

MgAlHg: optimized geometry, PBEsol.

The structure in extended XYZ format:
```
3
Lattice="-2.0596 -2.2775 0.9568 0.5464 -2.1875 -4.0309 2.7623 -1.0009 3.5636" Properties=species:S:1:pos:R:3 pbc="T T T"
Mg 0.2552 -2.9307 -1.0210
Hg 2.0237 -1.3964 1.0321
Al 0.0000 0.0000 0.0000
```

Computed properties:
- Electronic total energy: -6.62 eV per cell
- Space-group type: P-6m2

ZrBr2Cl: optimized geometry, PBEsol.

The structure in extended XYZ format:
```
4
Lattice="-2.6648 1.7465 0.9091 2.1254 -2.6919 5.3634 2.8541 5.5081 -2.2158" Properties=species:S:1:pos:R:3 pbc="T T T"
Br 2.0257 4.5748 3.1865
Br -0.0501 1.6725 2.6777
Zr 2.1687 2.5374 1.4819
Cl 0.5798 3.9681 0.1139
```

Computed properties:
- Formation energy from raw total energies: -1.44 eV/atom
- Electronic total energy: -20.58 eV per cell
- Energy relative to the lowest polymorph listed for this composition: 0.0 kJ/mol of formula units
- Space-group type: Cm